Entry 1:
Material: AgMoCl2
Method: DFT, GGA-PBEsol
State: optimized geometry

abc: 2.9895 2.9895 7.8125
angles: 90.00 90.00 90.00
Element x y z (fractional)
Cl (0.5000, 0.5000, 0.3142)
Cl (0.0000, 0.0000, 0.9523)
Ag (0.5000, 0.5000, 0.7398)
Mo (0.0000, 0.0000, 0.4936)

Summary:
- energy relative to the elements, uncorrected (eV per atom) = 0.06
- VASP energy (eV/atom) = -4.71
- symmetry = P4mm, No. 99
- energy above the lowest structure with this stoichiometry (meV per atom) = 101



Entry 2:
Material: Rb2AgMoCl6
Method: DFT, GGA-PBEsol
State: optimized geometry

abc: 7.1553 7.1553 7.1553
angles: 60.00 60.00 60.00
Element x y z (fractional)
Cl (0.2396, 0.2396, 0.7604)
Cl (0.7604, 0.7604, 0.2396)
Cl (0.7604, 0.2396, 0.2396)
Cl (0.2396, 0.7604, 0.2396)
Cl (0.7604, 0.2396, 0.7604)
Cl (0.2396, 0.7604, 0.7604)
Rb (0.2500, 0.2500, 0.2500)
Rb (0.7500, 0.7500, 0.7500)
Mo (0.0000, 0.0000, 0.0000)
Ag (0.5000, 0.5000, 0.5000)

Summary:
- energy relative to the elements, uncorrected (eV per atom) = -1.21
- VASP energy (eV/atom) = -4.13
- symmetry = Fm-3m, No. 225



Entry 3:
Material: AgMoSCl2
Method: DFT, GGA-PBEsol
State: optimized geometry

abc: 4.7526 4.7526 4.9308
angles: 90.00 90.00 90.00
Element x y z (fractional)
Cl (0.5000, 0.0000, 0.0000)
Cl (0.0000, 0.5000, 0.0000)
S (0.0000, 0.0000, 0.5000)
Ag (0.0000, 0.0000, 0.0000)
Mo (0.5000, 0.5000, 0.5000)

Summary:
- energy relative to the elements, uncorrected (eV per atom) = 0.77
- VASP energy (eV/atom) = -3.92
- symmetry = P4/mmm, No. 123



Entry 4:
Material: AgMoS2Cl
Method: DFT, GGA-PBEsol
State: optimized geometry

abc: 4.5605 4.5605 4.9748
angles: 90.00 90.00 90.00
Element x y z (fractional)
S (0.0000, 0.5000, 0.0000)
S (0.5000, 0.0000, 0.0000)
Cl (0.0000, 0.0000, 0.5000)
Ag (0.5000, 0.5000, 0.5000)
Mo (0.0000, 0.0000, 0.0000)

Summary:
- energy relative to the elements, uncorrected (eV per atom) = 0.01
- VASP energy (eV/atom) = -5.16
- symmetry = P4/mmm, No. 123



Entry 5:
Material: AgN3Cl
Method: DFT, GGA-PBEsol
State: optimized geometry

abc: 3.8034 3.8034 3.8034
angles: 90.00 90.00 90.00
Element x y z (fractional)
N (0.5000, 0.0000, 0.0000)
N (0.0000, 0.5000, 0.0000)
N (0.0000, 0.0000, 0.5000)
Cl (0.0000, 0.0000, 0.0000)
Ag (0.5000, 0.5000, 0.5000)

Summary:
- energy relative to the elements, uncorrected (eV per atom) = 2.65
- VASP energy (eV/atom) = -3.53
- symmetry = Pm-3m, No. 221



Entry 6:
Material: AgNCl3
Method: DFT, GGA-PBEsol
State: optimized geometry

abc: 4.8647 4.8647 4.8647
angles: 90.00 90.00 90.00
Element x y z (fractional)
Cl (0.5000, 0.0000, 0.0000)
Cl (0.0000, 0.5000, 0.0000)
Cl (0.0000, 0.0000, 0.5000)
Ag (0.0000, 0.0000, 0.0000)
N (0.5000, 0.5000, 0.5000)

Summary:
- energy relative to the elements, uncorrected (eV per atom) = 0.99
- VASP energy (eV/atom) = -2.58
- symmetry = Pm-3m, No. 221